1.
DFT (PBE) results for a geometry-optimized AlCdP2 structure.

The structure belongs to space group F-43m (No. 216); the cell edges are 6.579, 6.579 and 6.579 Å and the angles 90.00°, 90.00° and 90.00°. The distinct sites, in fractional coordinates, are Al at (0.000, 0.000, 0.000), Cd at (0.250, 0.250, 0.750), P at (0.000, 0.000, 0.500) and P at (0.250, 0.250, 0.250).

The offset from the most stable computed form comes out at 648 meV/atom. As for the energy relative to the elements: 0.516 eV per atom. For the size of the total moment, the calculation gives 0.00 μB/f.u.


2.
DFT (PBE) results for a geometry-optimized Al3CdP structure.

The structure belongs to space group Pm-3m (No. 221); the cell edges are 4.952, 4.952 and 4.952 Å and the angles 90.00°, 90.00° and 90.00°. The distinct sites, in fractional coordinates, are Al at (0.000, 0.000, 0.500), Cd at (0.000, 0.000, 0.000) and P at (0.500, 0.500, 0.500).

The offset from the most stable computed form comes out at 559 meV/atom. As for the energy relative to the elements: 0.928 eV per atom. For the size of the total moment, the calculation gives 0.00 μB/f.u.


3.
DFT (PBE) results for a geometry-optimized AlCdP2 structure.

The structure belongs to space group P4mm (No. 99); the cell edges are 3.337, 3.337 and 6.944 Å and the angles 90.00°, 90.00° and 90.00°. The distinct sites, in fractional coordinates, are Al at (0.000, 0.000, 0.000), Cd at (0.500, 0.500, 0.225), P at (0.000, 0.000, 0.660) and P at (0.500, 0.500, 0.596).

The offset from the most stable computed form comes out at 243 meV/atom. As for the energy relative to the elements: 0.111 eV per atom. For the size of the total moment, the calculation gives 0.00 μB/f.u.


4.
DFT (PBE) results for a geometry-optimized Al2CdP structure.

The structure belongs to space group I-42d (No. 122); the cell edges are 6.275, 6.275 and 9.993 Å and the angles 90.00°, 90.00° and 90.00°. The distinct sites, in fractional coordinates, are Al at (0.206, 0.250, 0.125), Cd at (0.000, 0.000, 0.500) and P at (0.000, 0.000, 0.000).

The offset from the most stable computed form comes out at 190 meV/atom. As for the energy relative to the elements: 0.107 eV per atom. For the size of the total moment, the calculation gives 0.00 μB/f.u.


5.
DFT (PBE) results for a geometry-optimized Al2CdP structure.

The structure belongs to space group P2/m (No. 10); the cell edges are 4.097, 3.574 and 5.378 Å and the angles 90.00°, 108.34° and 90.00°. The distinct sites, in fractional coordinates, are Al at (0.000, 0.000, 0.000), Al at (0.500, 0.500, 0.500), Cd at (0.000, 0.000, 0.500) and P at (0.500, 0.500, 0.000).

The offset from the most stable computed form comes out at 250 meV/atom. As for the energy relative to the elements: 0.166 eV per atom. For the size of the total moment, the calculation gives 0.00 μB/f.u.


6.
DFT (PBE) results for a geometry-optimized AlCdP2 structure.

The structure belongs to space group Pm (No. 6); the cell edges are 4.117, 4.912 and 4.117 Å and the angles 90.00°, 105.73° and 90.00°. The distinct sites, in fractional coordinates, are Al at (0.000, 0.000, 0.000), Cd at (0.461, 0.500, 0.537), P at (0.074, 0.500, 0.923) and P at (0.631, 0.000, 0.369).

The offset from the most stable computed form comes out at 141 meV/atom. As for the energy relative to the elements: 0.009 eV per atom. For the size of the total moment, the calculation gives 0.00 μB/f.u.


7.
DFT (PBE) results for a geometry-optimized AlCdRe2P structure.

The structure belongs to space group P4/mmm (No. 123); the cell edges are 4.990, 4.990 and 4.552 Å and the angles 90.00°, 90.00° and 90.00°. The distinct sites, in fractional coordinates, are Al at (0.000, 0.000, 0.000), Cd at (0.500, 0.500, 0.500), Re at (0.000, 0.500, 0.500) and P at (0.500, 0.500, 0.000).

As for the energy relative to the elements: 2.589 eV per atom. For the size of the total moment, the calculation gives 2.72 μB/f.u.


8.
DFT (PBE) results for a geometry-optimized AlCdPS2 structure.

The structure belongs to space group P4/mmm (No. 123); the cell edges are 4.620, 4.620 and 4.787 Å and the angles 90.00°, 90.00° and 90.00°. The distinct sites, in fractional coordinates, are Al at (0.000, 0.000, 0.000), Cd at (0.500, 0.500, 0.500), P at (0.000, 0.000, 0.500) and S at (0.000, 0.500, 0.000).

The offset from the most stable computed form comes out at 0 meV/atom. For the uncorrected formation energy, the calculation gives 0.20 eV/atom. For the size of the total moment, the calculation gives 0.00 μB/f.u.


9.
DFT (PBE) results for a geometry-optimized AlCdP2S structure.

The structure belongs to space group P4/mmm (No. 123); the cell edges are 4.698, 4.698 and 4.650 Å and the angles 90.00°, 90.00° and 90.00°. The distinct sites, in fractional coordinates, are Al at (0.000, 0.000, 0.000), Cd at (0.500, 0.500, 0.500), P at (0.000, 0.500, 0.000) and S at (0.000, 0.000, 0.500).

The offset from the most stable computed form comes out at 0 meV/atom. For the uncorrected formation energy, the calculation gives 0.45 eV/atom. For the size of the total moment, the calculation gives 0.00 μB/f.u.


10.
DFT (PBE) results for a geometry-optimized AlCdPS2 structure.

The structure belongs to space group P4/mmm (No. 123); the cell edges are 5.035, 5.035 and 5.020 Å and the angles 90.00°, 90.00° and 90.00°. The distinct sites, in fractional coordinates, are Al at (0.000, 0.000, 0.000), Cd at (0.500, 0.500, 0.500), P at (0.500, 0.500, 0.000) and S at (0.000, 0.500, 0.500).

The offset from the most stable computed form comes out at 702 meV/atom. For the uncorrected formation energy, the calculation gives 0.90 eV/atom. For the size of the total moment, the calculation gives 1.51 μB/f.u.


11.
DFT (PBE) results for a geometry-optimized AlCd2SiP structure.

The structure belongs to space group P4/mmm (No. 123); the cell edges are 5.001, 5.001 and 4.829 Å and the angles 90.00°, 90.00° and 90.00°. The distinct sites, in fractional coordinates, are Al at (0.000, 0.000, 0.000), Cd at (0.000, 0.500, 0.500), Si at (0.000, 0.000, 0.500) and P at (0.500, 0.500, 0.000).

For the uncorrected formation energy, the calculation gives 0.69 eV/atom. For the size of the total moment, the calculation gives 0.38 μB/f.u.


12.
DFT (PBE) results for a geometry-optimized Ta2AlCdP structure.

The structure belongs to space group P4/mmm (No. 123); the cell edges are 4.825, 4.825 and 4.681 Å and the angles 90.00°, 90.00° and 90.00°. The distinct sites, in fractional coordinates, are Ta at (0.000, 0.500, 0.000), Al at (0.000, 0.000, 0.000), Cd at (0.000, 0.000, 0.500) and P at (0.500, 0.500, 0.500).

As for the energy relative to the elements: 1.502 eV per atom. For the size of the total moment, the calculation gives 0.71 μB/f.u.